Computed, not measured: a geometry-optimized Pr2MoWC3 structure at the PBE level of DFT.

Unit cell a=6.4075 b=6.4075 c=5.9483 alpha=114.75 beta=114.75 gamma=31.17
Last column: nearest neighbours and their distance in Å.
Element x y z (fractional)
C1 0.7487 0.7487 0.2777  2 Mo 2.12, 1 W 2.14
C2 0.2531 0.2531 0.7240  2 W 2.10, 1 Mo 2.17
C3 0.9991 0.9991 0.9971  1 W 2.06, 1 Mo 2.07
Mo1 0.1592 0.1592 0.3198  4 C 2.07-2.17
Pr1 0.3938 0.3938 0.1908  5 C 2.56-2.70
Pr2 0.6067 0.6067 0.8133  5 C 2.55-2.71
W1 0.8394 0.8394 0.6774  4 C 2.06-2.14

Computed properties:
As for the raw total energy: -8.891 eV per atom. The total moment comes out at 0.00 μB per formula unit. Its space-group type is No. 8. Its crystal system is monoclinic. The value obtained for the mass density is 8.72 g/cm3.